A relaxed structure of LaHoEr, computed with PBE.

Lattice parameters (Å, degrees): 5.4795 5.4795 5.4795 60.00 60.00 60.00
Element x y z (fractional)
La 0.7500 0.7500 0.7500
Er 0.0000 0.0000 0.0000
Ho 0.2500 0.2500 0.2500

Its symmetry is No. 216. As for the formation energy: 0.698 eV/atom. The polymorph energy (0 for the lowest one) is 0.000 eV/f.u.

=====

A relaxed structure of Li3Ho2ErPb3, computed with PBE.

Lattice parameters (Å, degrees): 4.7740 4.7740 10.7308 90.00 90.00 120.00
Element x y z (fractional)
Ho 0.0000 0.0000 0.3350
Ho 0.0000 0.0000 0.6650
Er 0.0000 0.0000 0.0000
Pb 0.6667 0.3333 0.5000
Pb 0.3333 0.6667 0.1719
Pb 0.3333 0.6667 0.8281
Li 0.6667 0.3333 0.1891
Li 0.6667 0.3333 0.8109
Li 0.3333 0.6667 0.5000

Its symmetry is No. 187. The value obtained for the calculated total energy is -34.6 eV/cell.